Entry from Alexandria: an optimized crystal structure of Tb6Ce2Y3Ho (GGA-PBE).

Output
- calculated volume (Å³ per cell) = 380.6
- Fermi-level density of states (states/eV per atom) = 1.89
- spin magnetization (μB per cell) = 1.9
- electronic total energy (eV per atom) = -5.253
- ΔE_f (eV/f.u.) = 0.585
- calculated density (Mg/m³) = 7.27

Lattice parameters (Å, degrees): 6.153 6.153 11.787 94.99 94.99 120.00
Positions (direct):
Tb 0.081 0.417 0.752
Tb 0.248 0.248 0.248
Tb 0.417 0.081 0.752
Tb 0.583 0.919 0.248
Tb 0.752 0.752 0.752
Tb 0.919 0.583 0.248
Ce 0.167 0.833 0.000
Ce 0.833 0.167 0.000
Y 0.000 0.000 0.500
Y 0.334 0.666 0.500
Y 0.666 0.334 0.500
Ho 0.500 0.500 0.000